## LiCe2ThS4 (PBE-GGA)

Data for LiCe2ThS4 after structural relaxation.

Computed properties:
VASP energy ... -52.38 eV for the cell shown
E_form (uncorrected) ... -1.83 eV/atom
DOS at the Fermi energy ... 11.76 states/eV per cell
Crystal system ... monoclinic

```
LiCe2ThS4
1.0
6.906 0.000 0.000
0.000 3.996 0.000
-2.293 0.000 6.530
Li Ce Th S
1 2 1 4
Direct
0.000 0.000 0.000
0.000 0.500 0.500
0.500 0.000 0.500
0.500 0.500 0.000
0.240 0.500 0.239
0.241 0.000 0.757
0.759 0.000 0.243
0.760 0.500 0.761
```

***

## Li3Cd12Rh (PBE-GGA)

Data for Li3Cd12Rh after structural relaxation.

Computed properties:
ΔH_f (0 K) ... -0.1403 eV per atom
VASP energy ... -26.32 eV for the cell shown
DOS at the Fermi energy ... 6.39 states/eV per cell
Crystal system ... tetragonal

```
Li3Cd12Rh
1.0
4.305 0.000 0.000
0.000 4.305 0.000
0.000 0.000 17.287
Li Cd Rh
3 12 1
Direct
0.000 0.000 0.000
0.000 0.000 0.256
0.000 0.000 0.744
0.000 0.500 0.128
0.000 0.500 0.382
0.000 0.500 0.618
0.000 0.500 0.872
0.500 0.000 0.128
0.500 0.000 0.382
0.500 0.000 0.618
0.500 0.000 0.872
0.500 0.500 0.000
0.500 0.500 0.255
0.500 0.500 0.500
0.500 0.500 0.745
0.000 0.000 0.500
```

***

## SmInHgAu (PBE-GGA)

Data for SmInHgAu after structural relaxation.

Computed properties:
ΔH_f (0 K) ... -0.5458 eV per atom
VASP energy ... -52.88 eV for the cell shown
DOS at the Fermi energy ... 8.61 states/eV per cell
Crystal system ... cubic

```
SmInHgAu
1.0
7.221 0.000 0.000
0.000 7.221 0.000
0.000 0.000 7.221
Sm In Hg Au
4 4 4 4
Direct
0.000 0.000 0.000
0.000 0.500 0.500
0.500 0.000 0.500
0.500 0.500 0.000
0.000 0.000 0.500
0.000 0.500 0.000
0.500 0.000 0.000
0.500 0.500 0.500
0.250 0.250 0.750
0.250 0.750 0.250
0.750 0.250 0.250
0.750 0.750 0.750
0.250 0.250 0.250
0.250 0.750 0.750
0.750 0.250 0.750
0.750 0.750 0.250
```

***

## Eu3Sb5Te12 (PBE-GGA)

Data for Eu3Sb5Te12 after structural relaxation.

Computed properties:
VASP energy ... -393.08 eV for the cell shown
E_form (uncorrected) ... -0.46 eV/atom
DOS at the Fermi energy ... 161.37 states/eV per cell
Crystal system ... cubic

```
Eu3Sb5Te12
1.0
-9.173 9.173 9.173
9.173 -9.173 9.173
9.173 9.173 -9.173
Eu Sb Te
12 20 48
Direct
0.125 0.250 0.375
0.125 0.375 0.750
0.250 0.375 0.125
0.250 0.875 0.625
0.375 0.125 0.250
0.375 0.750 0.125
0.625 0.250 0.875
0.625 0.875 0.750
0.750 0.125 0.375
0.750 0.625 0.875
0.875 0.625 0.250
0.875 0.750 0.625
0.000 0.000 0.000
0.000 0.000 0.500
0.000 0.500 0.000
0.000 0.500 0.500
0.125 0.750 0.875
0.125 0.875 0.250
0.250 0.125 0.875
0.250 0.625 0.375
0.375 0.250 0.625
0.375 0.625 0.750
0.500 0.000 0.000
0.500 0.000 0.500
0.500 0.500 0.000
0.500 0.500 0.500
0.625 0.375 0.250
0.625 0.750 0.375
0.750 0.375 0.625
0.750 0.875 0.125
0.875 0.125 0.750
0.875 0.250 0.125
0.047 0.217 0.134
0.047 0.330 0.913
0.083 0.717 0.670
0.083 0.866 0.413
0.087 0.634 0.417
0.087 0.953 0.670
0.134 0.047 0.217
0.134 0.587 0.917
0.170 0.217 0.583
0.170 0.453 0.587
0.217 0.134 0.047
0.217 0.583 0.170
0.283 0.330 0.917
0.283 0.453 0.366
0.330 0.913 0.047
0.330 0.917 0.283
0.366 0.283 0.453
0.366 0.583 0.913
0.413 0.083 0.866
0.413 0.830 0.547
0.417 0.087 0.634
0.417 0.830 0.783
0.453 0.366 0.283
0.453 0.587 0.170
0.547 0.413 0.830
0.547 0.634 0.717
0.583 0.170 0.217
0.583 0.913 0.366
0.587 0.170 0.453
0.587 0.917 0.134
0.634 0.417 0.087
0.634 0.717 0.547
0.670 0.083 0.717
0.670 0.087 0.953
0.717 0.547 0.634
0.717 0.670 0.083
0.783 0.417 0.830
0.783 0.866 0.953
0.830 0.547 0.413
0.830 0.783 0.417
0.866 0.413 0.083
0.866 0.953 0.783
0.913 0.047 0.330
0.913 0.366 0.583
0.917 0.134 0.587
0.917 0.283 0.330
0.953 0.670 0.087
0.953 0.783 0.866
```